Record 1
A relaxed SrGdCuTe2S crystal. Source: the Open Quantum Materials Database, functional PBE.

It has space group Cmcm (No. 63), with a = 4.217 Å, b = 14.435 Å, c = 10.589 Å, α = 90.00°, β = 90.00° and γ = 90.00°. The distinct sites, in fractional coordinates, are Sr at (0.000, 0.220, 0.250), Gd at (0.000, 0.500, 0.000), Cu at (0.000, 0.021, 0.750), Te at (0.000, 0.147, 0.567) and S at (0.000, 0.434, 0.750).

***

Record 2
A relaxed GdZnCuS3 crystal. Source: the Open Quantum Materials Database, functional PBE.

It has space group Cmcm (No. 63), with a = 3.688 Å, b = 11.935 Å, c = 10.451 Å, α = 90.00°, β = 90.00° and γ = 90.00°. The distinct sites, in fractional coordinates, are Gd at (0.000, 0.000, 0.000), Zn at (0.000, 0.238, 0.250), Cu at (0.000, 0.478, 0.750), S at (0.000, 0.104, 0.750) and S at (0.000, 0.350, 0.587).

***

Record 3
A relaxed Gd3Cu3Sb4 crystal. Source: the Open Quantum Materials Database, functional PBE.

It has space group I-43d (No. 220), with a = 9.619 Å, b = 9.619 Å, c = 9.619 Å, α = 90.00°, β = 90.00° and γ = 90.00°. The distinct sites, in fractional coordinates, are Gd at (0.000, 0.250, 0.375), Cu at (0.000, 0.250, 0.875) and Sb at (0.081, 0.081, 0.081).

***

Record 4
A relaxed SrGdCu2Sb2 crystal. Source: the Open Quantum Materials Database, functional PBE.

It has space group P3m1 (No. 156), with a = 4.4401 Å, b = 4.4401 Å, c = 8.3572 Å, α = 90.00°, β = 90.00° and γ = 120.00°. The distinct sites, in fractional coordinates, are Sr at (0.0000, 0.0000, 0.0000), Gd at (0.0000, 0.0000, 0.4995), Cu at (0.3333, 0.6667, 0.2843), Cu at (0.6667, 0.3333, 0.7225), Sb at (0.3333, 0.6667, 0.7354) and Sb at (0.6667, 0.3333, 0.2616).

***

Record 5
A relaxed TbGdCu2Sb4 crystal. Source: the Open Quantum Materials Database, functional PBE.

It has space group P4mm (No. 99), with a = 4.315 Å, b = 4.315 Å, c = 9.890 Å, α = 90.00°, β = 90.00° and γ = 90.00°. The distinct sites, in fractional coordinates, are Tb at (0.000, 0.000, 0.000), Gd at (0.500, 0.500, 0.499), Cu at (0.000, 0.500, 0.749), Sb at (0.000, 0.000, 0.589), Sb at (0.000, 0.500, 0.249) and Sb at (0.500, 0.500, 0.910).

***

Record 6
A relaxed GdScCu crystal. Source: the Open Quantum Materials Database, functional PBE.

It has space group F-43m (No. 216), with a = 6.579 Å, b = 6.579 Å, c = 6.579 Å, α = 90.00°, β = 90.00° and γ = 90.00°. The distinct sites, in fractional coordinates, are Gd at (0.000, 0.000, 0.000), Sc at (0.250, 0.250, 0.250) and Cu at (0.250, 0.250, 0.750).

***

Number 1: energy -4.764 eV/atom. Number 2: energy -4.603 eV/atom. Number 3: energy -4.910 eV/atom. Number 4: energy -4.367 eV/atom. Number 5: energy -4.786 eV/atom. Number 6: energy -4.186 eV/atom.